[1]
First-principles (GGA-PBE) data for a geometry-optimized Cd2Hg2Pd5 structure, as listed in the Alexandria database.

Values from the calculation:
* E above lowest polymorph: 0.000 eV/atom
* total DFT energy (no corrections): -3.3234 eV per atom
* ΔE_f: -146 kJ/mol of formula units
* space group: P-1 (2)

Lattice parameters (Å, degrees): 5.0417 5.6015 7.0124 88.24 115.30 108.85
Positions (direct):
Cd: 0.5492 0.8651 0.1917
Cd: 0.4508 0.1349 0.8083
Hg: 0.8197 0.6738 0.6405
Hg: 0.1803 0.3262 0.3595
Pd: 0.6088 0.3951 0.1966
Pd: 0.3912 0.6049 0.8034
Pd: 0.8181 0.1776 0.5915
Pd: 0.1819 0.8224 0.4085
Pd: 0.0000 0.0000 0.0000

[2]
First-principles (GGA-PBE) data for a geometry-optimized CdHg3Pd structure, as listed in the Alexandria database.

Values from the calculation:
* E above lowest polymorph: 0.000 eV/atom
* total DFT energy (no corrections): -1.3477 eV per atom
* ΔE_f: 27 kJ/mol of formula units
* space group: Pm-3m (221)

Lattice parameters (Å, degrees): 5.3487 5.3487 5.3487 90.00 90.00 90.00
Positions (direct):
Hg: 0.0000 0.5000 0.0000
Hg: 0.0000 0.0000 0.5000
Hg: 0.5000 0.0000 0.0000
Pd: 0.0000 0.0000 0.0000
Cd: 0.5000 0.5000 0.5000

[3]
First-principles (GGA-PBE) data for a geometry-optimized CdHg2Pd7 structure, as listed in the Alexandria database.

Values from the calculation:
* total DFT energy (no corrections): -3.6644 eV per atom
* ΔE_f: 118 kJ/mol of formula units
* space group: Cmmm (65)

Lattice parameters (Å, degrees): 2.8139 9.1621 9.1621 124.03 90.00 90.00
Positions (direct):
Cd: 0.0000 0.0000 0.0000
Hg: 0.5000 0.6787 0.3213
Hg: 0.5000 0.3213 0.6787
Pd: 0.0000 0.8260 0.1740
Pd: 0.0000 0.1740 0.8260
Pd: 0.5000 0.1401 0.3170
Pd: 0.5000 0.8599 0.6830
Pd: 0.5000 0.3170 0.1401
Pd: 0.5000 0.6830 0.8599
Pd: 0.5000 0.5000 0.5000

[4]
First-principles (GGA-PBE) data for a geometry-optimized CdHg5Pd6 structure, as listed in the Alexandria database.

Values from the calculation:
* total DFT energy (no corrections): -3.0077 eV per atom
* ΔE_f: -242 kJ/mol of formula units
* space group: Immm (71)

Lattice parameters (Å, degrees): 4.3513 7.8331 7.8331 111.77 106.13 106.13
Positions (direct):
Hg: 0.5000 0.1648 0.8352
Hg: 0.0000 0.3327 0.6673
Hg: 0.5000 0.5000 0.5000
Hg: 0.0000 0.6673 0.3327
Hg: 0.5000 0.8352 0.1648
Pd: 0.2495 0.0834 0.4157
Pd: 0.7505 0.5843 0.9166
Pd: 0.7491 0.2494 0.2494
Pd: 0.2509 0.7506 0.7506
Pd: 0.2495 0.4157 0.0834
Pd: 0.7505 0.9166 0.5843
Cd: 0.0000 0.0000 0.0000

> Which of these has the highest ΔE_f?

CdHg2Pd7